1.
A plane-wave DFT calculation with PBE was carried out for Hg3Pb after structural relaxation. Values from VASP.

```
&SYSTEM
  ibrav = 0, nat = 4, ntyp = 2
/
ATOMIC_SPECIES
Hg 200.59 Hg.upf
Pb 207.20 Pb.upf
ATOMIC_POSITIONS crystal
Hg 0.000 0.000 0.000
Hg 0.500 0.500 0.237
Hg 0.500 0.500 0.763
Pb 0.000 0.000 0.500
CELL_PARAMETERS angstrom
3.912 0.000 0.000
0.000 3.912 0.000
0.000 0.000 7.090
```

Summary:
- ΔE_f (eV/atom) = 0.04
- magnetization (μB per formula unit) = 0.0
- final energy (eV per atom) = -1.1150

=====

2.
A plane-wave DFT calculation with PBE was carried out for HgPb3 after structural relaxation. Values from VASP.

```
&SYSTEM
  ibrav = 0, nat = 4, ntyp = 2
/
ATOMIC_SPECIES
Hg 200.59 Hg.upf
Pb 207.20 Pb.upf
ATOMIC_POSITIONS crystal
Hg 0.000 0.000 0.000
Pb 0.000 0.000 0.500
Pb 0.500 0.500 0.237
Pb 0.500 0.500 0.763
CELL_PARAMETERS angstrom
3.593 0.000 0.000
0.000 4.657 0.000
0.000 0.000 7.150
```

Summary:
- ΔE_f (eV/atom) = 0.01
- magnetization (μB per formula unit) = 0.0
- final energy (eV per atom) = -2.8468

=====

Which of these has the lowest final energy? HgPb3

=====

The lowest final energy belongs to which entry? HgPb3

=====

Which of these has the highest ΔE_f? Hg3Pb